Record 1
Density functional theory data (PBE) for a geometry-optimized TaInS structure.

## Properties
N(E_F) in states/eV/atom: 0.374
Formation energy (no corrections) in meV/atom: -468

Cell: 3.2742 4.6542 8.5710 Å, 90.00 100.43 90.00°
Space group P2_1/m (No. 11)
One atom of each set of equivalent atoms:
Ta 0.2159 0.2500 0.4283 x2
In 0.4307 0.7500 0.8830 x2
S 0.1782 0.7500 0.3493 x2

---

Record 2
Density functional theory data (PBE) for a geometry-optimized ZrTa2InS structure.

## Properties
N(E_F) in states/eV/atom: 1.426
Formation energy (no corrections) in meV/atom: 1367

Cell: 5.3267 5.3267 4.8667 Å, 90.00 90.00 90.00°
Space group P4/mmm (No. 123)
One atom of each set of equivalent atoms:
Zr 0.0000 0.0000 0.0000 x1
Ta 0.0000 0.5000 0.0000 x2
In 0.5000 0.5000 0.5000 x1
S 0.0000 0.0000 0.5000 x1

---

Record 3
Density functional theory data (PBE) for a geometry-optimized ZrTa2In2S6 structure.

## Properties
N(E_F) in states/eV/atom: 0.564
Formation energy (no corrections) in meV/atom: -940

Cell: 6.0914 10.4055 8.4953 Å, 90.00 104.07 90.00°
Space group C2/m (No. 12)
One atom of each set of equivalent atoms:
Zr 0.0000 0.0000 0.0000 x2
Ta 0.0000 0.3568 0.0000 x4
In 0.0000 0.2845 0.5000 x4
S 0.1036 0.5000 0.7995 x4
S 0.1164 0.1749 0.8235 x8